VASP calculation (PBE-GGA) on crystalline TbTm2Mg2 at its relaxed geometry.

extended XYZ file:
```
10
Lattice="-2.126 2.126 16.499 2.126 -2.126 16.499 2.126 2.126 -16.499" Properties=species:S:1:pos:R:3 pbc="T T T"
Tb 0.000 0.000 4.200
Tb 0.000 0.000 28.798
Tm 2.126 0.000 8.250
Tm 0.000 0.000 14.005
Tm 0.000 0.000 18.993
Tm 0.000 2.126 8.250
Mg 2.126 0.000 0.000
Mg 0.000 0.000 10.744
Mg 0.000 2.126 0.000
Mg 0.000 0.000 22.255
```

Summary:
magnetization = 0.00 μB per atom
polymorph energy (0 for the lowest one) = 0.3331 eV/atom
ρ = 6.1 Mg/m³
crystal system = tetragonal